Density functional theory data (GGA-PBE) for crystalline SrPtSe at its relaxed geometry.

Values from the calculation:
- Formation energy (no corrections): -0.565 eV/atom

a b c (Å): 4.1438 4.0987 10.9414
angles (deg): 90.00 90.00 120.36
With the nearest neighbours (Å) after each atom.
Fractional coordinates of all 6 atoms:
Pt1 0.2847 0.5694 0.5000  6 Sr 3.06-3.10
Pt2 0.5591 0.1183 0.0000  2 Se 2.45
Sr1 0.6257 0.2513 0.6780  3 Pt 3.06-3.10, 3 Se 3.11-3.14
Sr2 0.6257 0.2513 0.3220  3 Pt 3.06-3.10, 3 Se 3.11-3.14
Se1 0.2857 0.5714 0.8627  1 Pt 2.45
Se2 0.2857 0.5714 0.1373  1 Pt 2.45